A plane-wave DFT calculation with PBE was carried out for Na3PrY2S6 after structural relaxation.

abc: 7.0134 7.0134 7.0907
angles: 99.49 99.49 120.00
Sites, in units of the cell vectors:
S 0.9236 0.5804 0.7710
S 0.2664 0.2664 0.7697
Na 0.5000 0.5000 0.5000
S 0.7336 0.7336 0.2303
S 0.5804 0.9236 0.7710
S 0.4196 0.0764 0.2290
Pr 0.0000 0.0000 0.0000
Y 0.6668 0.3332 0.0000
Na 0.1666 0.8334 0.5000
Y 0.3332 0.6668 0.0000
S 0.0764 0.4196 0.2290
Na 0.8334 0.1666 0.5000

Computed properties:
Total magnetic moment ... 0.00 μB per formula unit
Total DFT energy (no corrections) ... -68.32 eV/cell


A plane-wave DFT calculation with PBE was carried out for Na3Pr2ZrS6 after structural relaxation.

abc: 6.9344 6.9344 7.1387
angles: 99.38 99.38 120.01
Sites, in units of the cell vectors:
S 0.9219 0.6123 0.7674
S 0.3877 0.0781 0.2326
S 0.6123 0.9219 0.7674
Zr 0.0000 0.0000 0.0000
Pr 0.3332 0.6668 0.0000
S 0.2323 0.2323 0.7707
Na 0.5000 0.5000 0.5000
Pr 0.6668 0.3332 0.0000
S 0.7677 0.7677 0.2293
S 0.0781 0.3877 0.2326
Na 0.1672 0.8328 0.5000
Na 0.8328 0.1672 0.5000

Computed properties:
Total magnetic moment ... 0.00 μB per formula unit
Total DFT energy (no corrections) ... -66.59 eV/cell


A plane-wave DFT calculation with PBE was carried out for Na2PrZrS4 after structural relaxation.

abc: 3.9005 6.8417 7.1327
angles: 108.34 90.00 90.00
Sites, in units of the cell vectors:
Na 0.0000 0.5000 0.5000
S 0.0000 0.7228 0.2247
S 0.5000 0.2678 0.2350
Na 0.5000 0.0000 0.5000
S 0.5000 0.7322 0.7650
Pr 0.0000 0.0000 0.0000
S 0.0000 0.2772 0.7753
Zr 0.5000 0.5000 0.0000

Computed properties:
Total magnetic moment ... 0.00 μB per formula unit
Total DFT energy (no corrections) ... -45.17 eV/cell


A plane-wave DFT calculation with PBE was carried out for NaPrSb3 after structural relaxation.

abc: 6.1790 6.4915 14.5313
angles: 90.00 90.00 90.60
Sites, in units of the cell vectors:
Na 0.2500 0.5000 0.0937
Sb 0.2500 0.0000 0.4966
Sb 0.5030 0.7442 0.7337
Sb 0.2388 0.7709 0.8971
Na 0.2500 0.0000 0.1028
Pr 0.0107 0.7531 0.6750
Pr 0.4893 0.2469 0.6750
Na 0.7500 0.0000 0.8972
Sb 0.0030 0.7442 0.2663
Sb 0.7500 0.0000 0.5034
Sb 0.7500 0.5000 0.5027
Sb 0.7388 0.7709 0.1029
Sb 0.9970 0.2558 0.7337
Pr 0.9893 0.2469 0.3250
Pr 0.5107 0.7531 0.3250
Sb 0.7612 0.2291 0.1029
Sb 0.2612 0.2291 0.8971
Sb 0.2500 0.5000 0.4973
Sb 0.4970 0.2558 0.2663
Na 0.7500 0.5000 0.9063

Computed properties:
Total magnetic moment ... 0.00 μB per formula unit
Total DFT energy (no corrections) ... -86.50 eV/cell


A plane-wave DFT calculation with PBE was carried out for NaPrSb after structural relaxation.

abc: 5.3116 5.3109 15.6777
angles: 90.00 90.00 90.00
Sites, in units of the cell vectors:
Na 0.7500 0.2475 0.5650
Pr 0.7500 0.7539 0.2500
Sb 0.7500 0.2540 0.3639
Sb 0.2500 0.7460 0.6361
Sb 0.2500 0.7540 0.1361
Na 0.2500 0.7525 0.4350
Na 0.2500 0.7475 0.9350
Sb 0.7500 0.2460 0.8639
Pr 0.2500 0.2461 0.7500
Na 0.7500 0.2525 0.0650
Pr 0.7500 0.7461 0.7500
Pr 0.2500 0.2539 0.2500

Computed properties:
Total magnetic moment ... 0.00 μB per formula unit
Total DFT energy (no corrections) ... -47.54 eV/cell


A plane-wave DFT calculation with PBE was carried out for NaPrSb2 after structural relaxation.

abc: 6.3733 6.3733 6.6049
angles: 90.00 90.00 120.80
Sites, in units of the cell vectors:
Sb 0.0000 0.5000 0.8240
Na 0.0000 0.0000 0.0000
Pr 0.5000 0.0000 0.6829
Sb 0.5000 0.0000 0.1761
Sb 0.5000 0.5000 0.5000
Sb 0.0000 0.0000 0.5000
Pr 0.0000 0.5000 0.3171
Na 0.5000 0.5000 0.0000

Computed properties:
Total magnetic moment ... 0.00 μB per formula unit
Energy above the most stable polymorph in this dataset ... 33 meV per atom
Total DFT energy (no corrections) ... -33.52 eV/cell


A plane-wave DFT calculation with PBE was carried out for NaPr2Sb after structural relaxation.

abc: 4.4756 5.1771 5.1771
angles: 90.00 90.00 90.00
Sites, in units of the cell vectors:
Pr 0.0000 0.0000 0.5000
Sb 0.5000 0.5000 0.5000
Pr 0.0000 0.5000 0.0000
Na 0.5000 0.0000 0.0000

Computed properties:
Total magnetic moment ... 0.00 μB per formula unit
Total DFT energy (no corrections) ... -16.86 eV/cell


A plane-wave DFT calculation with PBE was carried out for NaPrSb2 after structural relaxation.

abc: 4.1544 4.1544 6.9142
angles: 90.00 90.00 90.00
Sites, in units of the cell vectors:
Sb 0.0000 0.0000 0.7324
Pr 0.5000 0.5000 0.5000
Na 0.5000 0.5000 0.0000
Sb 0.0000 0.0000 0.2676

Computed properties:
Total magnetic moment ... 0.00 μB per formula unit
Energy above the most stable polymorph in this dataset ... 22 meV per atom
Total DFT energy (no corrections) ... -16.81 eV/cell